# Ba2ZnPt

Ba2ZnPt at its PBEsol-relaxed geometry (SCAN, Alexandria).

Unit cell a=4.483 b=4.483 c=24.215 alpha=90.00 beta=90.00 gamma=120.00
Sites, in units of the cell vectors:
Ba  0.000  0.000  0.237
Ba  0.000  0.000  0.763
Ba  0.333  0.667  0.429
Ba  0.333  0.667  0.904
Ba  0.667  0.333  0.096
Ba  0.667  0.333  0.571
Zn  0.000  0.000  0.000
Zn  0.333  0.667  0.667
Zn  0.667  0.333  0.333
Pt  0.000  0.000  0.500
Pt  0.333  0.667  0.167
Pt  0.667  0.333  0.833

Density of states at the Fermi level (states/eV/cell): 6.9
E_tot (eV per atom): -41.142

# SrSn3Cl

SrSn3Cl at its PBEsol-relaxed geometry (SCAN, Alexandria).

Unit cell a=6.032 b=6.032 c=6.032 alpha=90.00 beta=90.00 gamma=90.00
Sites, in units of the cell vectors:
Sr  0.000  0.000  0.000
Sn  0.000  0.000  0.500
Sn  0.000  0.500  0.000
Sn  0.500  0.000  0.000
Cl  0.500  0.500  0.500

Density of states at the Fermi level (states/eV/cell): 7.6
Energy relative to the elements, uncorrected (eV per atom): 0.85
E_tot (eV per atom): -26.752